VASP calculation (PBE+U) on a relaxed YLu3Cr4O16 crystal.

Values from the calculation:
Space group ... C222 (21)
Crystal system ... orthorhombic
VASP energy ... -7.72 eV per atom

Cell: 5.905 5.905 10.056 Å, 90.00 90.00 116.22°
Fractional coordinates of all 24 atoms:
Y  0.000  0.000  0.000
Lu  0.000  0.500  0.252
Lu  0.500  0.000  0.748
Lu  0.500  0.500  0.500
Cr  0.000  0.000  0.500
Cr  0.000  0.500  0.746
Cr  0.500  0.000  0.254
Cr  0.500  0.500  0.000
O  0.086  0.773  0.836
O  0.088  0.269  0.405
O  0.227  0.914  0.164
O  0.233  0.417  0.096
O  0.269  0.088  0.595
O  0.275  0.583  0.657
O  0.417  0.233  0.904
O  0.417  0.725  0.343
O  0.583  0.275  0.343
O  0.583  0.767  0.904
O  0.725  0.417  0.657
O  0.731  0.912  0.595
O  0.767  0.583  0.096
O  0.773  0.086  0.164
O  0.912  0.731  0.405
O  0.914  0.227  0.836